Li5TlIn | GGA-PBE | optimized geometry

abc: 4.377 4.377 7.573
angles: 90.00 90.00 90.00
Space group P4/mmm (No. 123)
Inequivalent atoms, fractional coordinates:
Li  0.000  0.000  0.000
Li  0.000  0.500  0.262
Tl  0.500  0.500  0.000
In  0.000  0.000  0.500

Output
calculated volume: 145.1 Å³/f.u.
ΔE_f: -122 meV per atom
uncorrected energy: -15.52 eV per formula unit

LiTl3In | GGA-PBE | optimized geometry

abc: 10.324 8.239 6.935
angles: 90.00 111.71 90.00
Space group C2/m (No. 12)
Inequivalent atoms, fractional coordinates:
Li  0.250  0.000  0.005
Tl  0.060  0.500  0.260
Tl  0.168  0.241  0.675
In  0.068  0.000  0.255

Output
calculated volume: 137.0 Å³/f.u.
ΔE_f: -27 meV per atom
uncorrected energy: -11.88 eV per formula unit

LiTlIn4 | GGA-PBE | optimized geometry

abc: 8.780 8.780 8.780
angles: 90.00 90.00 90.00
Space group F-43m (No. 216)
Inequivalent atoms, fractional coordinates:
Li  0.000  0.000  0.000
Tl  0.250  0.250  0.750
In  0.125  0.125  0.375

Output
calculated volume: 169.2 Å³/f.u.
ΔE_f: 16 meV per atom
uncorrected energy: -15.14 eV per formula unit

LiTl3In2 | GGA-PBE | optimized geometry

abc: 5.435 17.045 3.498
angles: 90.00 90.00 90.00
Space group Cmmm (No. 65)
Inequivalent atoms, fractional coordinates:
Li  0.000  0.000  0.000
Tl  0.000  0.313  0.000
Tl  0.000  0.500  0.500
In  0.000  0.141  0.500

Output
calculated volume: 162.0 Å³/f.u.
ΔE_f: -35 meV per atom
uncorrected energy: -14.70 eV per formula unit

LiTl6In12 | GGA-PBE | optimized geometry

abc: 12.9664 12.9664 11.1746
angles: 90.00 90.00 120.00
Space group R-3 (No. 148, hexagonal axes)
Inequivalent atoms, fractional coordinates:
Li  0.0000  0.0000  0.0000
Tl  0.0655  0.1708  0.7530
In  0.0119  0.2544  0.0154
In  0.0668  0.5106  0.1202

Output
calculated volume: 542.4 Å³/f.u.
ΔE_f: 20 meV per atom
uncorrected energy: -48.59 eV per formula unit

Li4TlIn5 | GGA-PBE | optimized geometry

abc: 3.518 3.518 17.525
angles: 90.00 90.00 90.00
Space group P4/mmm (No. 123)
Inequivalent atoms, fractional coordinates:
Li  0.000  0.000  0.090
Li  0.000  0.000  0.272
Tl  0.000  0.000  0.500
In  0.500  0.500  0.000
In  0.500  0.500  0.181
In  0.500  0.500  0.368

Output
calculated volume: 216.9 Å³/f.u.
ΔE_f: -198 meV per atom
uncorrected energy: -25.70 eV per formula unit

- Which formula does entry 3 have?
  LiTlIn4